[1]
# PBE Nd2MgAl2Ir5, optimized geometry
# **Uncorrected energy**: -6.89 eV/atom
# **Formation enthalpy at 0 K**: -595 meV/atom
data_Nd2MgAl2Ir5
_space_group_name_H-M_alt 'P 4/m b m'
_space_group_IT_number 127
_space_group_name_Hall '-P 4 2ab'
_cell_length_a 10.085
_cell_length_b 10.085
_cell_length_c 3.515
_cell_angle_alpha 90.00
_cell_angle_beta 90.00
_cell_angle_gamma 90.00
loop_
_atom_site_label
_atom_site_type_symbol
_atom_site_fract_x
_atom_site_fract_y
_atom_site_fract_z
Nd1 Nd 0.177 0.323 0.000
Mg1 Mg 0.000 0.000 0.000
Al1 Al 0.122 0.622 0.000
Ir1 Ir 0.000 0.500 0.500
Ir2 Ir 0.064 0.790 0.500

=====

[2]
# PBE InFe2Cu, optimized geometry
# **Uncorrected energy**: -5.70 eV/atom
# **Formation enthalpy at 0 K**: 239 meV/atom
data_InFe2Cu
_space_group_name_H-M_alt 'P m m m'
_space_group_IT_number 47
_space_group_name_Hall '-P 2 2'
_cell_length_a 2.728
_cell_length_b 3.889
_cell_length_c 5.376
_cell_angle_alpha 90.00
_cell_angle_beta 90.00
_cell_angle_gamma 90.00
loop_
_atom_site_label
_atom_site_type_symbol
_atom_site_fract_x
_atom_site_fract_y
_atom_site_fract_z
In1 In 0.000 0.000 0.000
Fe1 Fe 0.500 0.500 0.277
Cu1 Cu 0.000 0.000 0.500

=====

[3]
# PBE Pm2Mg3Rh2, optimized geometry
# **Uncorrected energy**: -4.67 eV/atom
# **Formation enthalpy at 0 K**: -524 meV/atom
data_Pm2Mg3Rh2
_space_group_name_H-M_alt 'C 1 2/m 1'
_space_group_IT_number 12
_space_group_name_Hall '-C 2y'
_cell_length_a 10.331
_cell_length_b 4.242
_cell_length_c 7.613
_cell_angle_alpha 90.00
_cell_angle_beta 111.82
_cell_angle_gamma 90.00
loop_
_atom_site_label
_atom_site_type_symbol
_atom_site_fract_x
_atom_site_fract_y
_atom_site_fract_z
Pm1 Pm 0.147 0.000 0.290
Mg1 Mg 0.000 0.500 0.500
Mg2 Mg 0.138 0.500 0.939
Rh1 Rh 0.148 0.000 0.693

=====

[4]
# PBE Ba5Cl4, optimized geometry
# **Uncorrected energy**: -3.32 eV/atom
# **Raw formation energy**: -1429.7 meV/atom
data_Ba5Cl4
_space_group_name_H-M_alt 'I 4/m m m'
_space_group_IT_number 139
_space_group_name_Hall '-I 4 2'
_cell_length_a 15.326
_cell_length_b 15.326
_cell_length_c 4.360
_cell_angle_alpha 90.00
_cell_angle_beta 90.00
_cell_angle_gamma 90.00
loop_
_atom_site_label
_atom_site_type_symbol
_atom_site_fract_x
_atom_site_fract_y
_atom_site_fract_z
Ba1 Ba 0.000 0.000 0.000
Ba2 Ba 0.158 0.158 0.500
Cl1 Cl 0.000 0.208 0.000

=====

[5]
# PBE LiFeSiNi, optimized geometry
# **Uncorrected energy**: -5.74 eV/atom
# **Raw formation energy**: -343.7 meV/atom
data_LiFeSiNi
_space_group_name_H-M_alt 'F -4 3 m'
_space_group_IT_number 216
_space_group_name_Hall 'F -4 2 3'
_cell_length_a 5.508
_cell_length_b 5.508
_cell_length_c 5.508
_cell_angle_alpha 90.00
_cell_angle_beta 90.00
_cell_angle_gamma 90.00
loop_
_atom_site_label
_atom_site_type_symbol
_atom_site_fract_x
_atom_site_fract_y
_atom_site_fract_z
Li1 Li 0.000 0.000 0.000
Fe1 Fe 0.250 0.250 0.250
Si1 Si 0.000 0.000 0.500
Ni1 Ni 0.250 0.250 0.750

=====

[6]
# PBE ZrReSe2, optimized geometry
# **Uncorrected energy**: -7.23 eV/atom
# **Raw formation energy**: -243.1 meV/atom
data_ZrReSe2
_space_group_name_H-M_alt 'P 4/m m m'
_space_group_IT_number 123
_space_group_name_Hall '-P 4 2'
_cell_length_a 4.550
_cell_length_b 4.550
_cell_length_c 3.272
_cell_angle_alpha 90.00
_cell_angle_beta 90.00
_cell_angle_gamma 90.00
loop_
_atom_site_label
_atom_site_type_symbol
_atom_site_fract_x
_atom_site_fract_y
_atom_site_fract_z
Zr1 Zr 0.000 0.000 0.000
Re1 Re 0.500 0.500 0.000
Se1 Se 0.000 0.500 0.500

=====

Question: Number 3 is which compound?
Answer: Pm2Mg3Rh2

=====

Repeat the first record exactly.
# PBE Nd2MgAl2Ir5, optimized geometry
# **Uncorrected energy**: -6.89 eV/atom
# **Formation enthalpy at 0 K**: -595 meV/atom
data_Nd2MgAl2Ir5
_space_group_name_H-M_alt 'P 4/m b m'
_space_group_IT_number 127
_space_group_name_Hall '-P 4 2ab'
_cell_length_a 10.085
_cell_length_b 10.085
_cell_length_c 3.515
_cell_angle_alpha 90.00
_cell_angle_beta 90.00
_cell_angle_gamma 90.00
loop_
_atom_site_label
_atom_site_type_symbol
_atom_site_fract_x
_atom_site_fract_y
_atom_site_fract_z
Nd1 Nd 0.177 0.323 0.000
Mg1 Mg 0.000 0.000 0.000
Al1 Al 0.122 0.622 0.000
Ir1 Ir 0.000 0.500 0.500
Ir2 Ir 0.064 0.790 0.500